[1]
The following is a DFT calculation (PBE) of a relaxed structure of Ca2ZrAl.

E_form = -15 meV per atom
DOS at the Fermi energy = 1.029 states/eV per atom
E_tot = -16.4 eV for the cell shown
crystal system = tetragonal

Cell and atoms, written as extended XYZ:
```
4
Lattice="3.3957 0.0000 0.0000 0.0000 3.3957 0.0000 0.0000 0.0000 9.7380" Properties=species:S:1:pos:R:3 pbc="T T T"
Ca 0.0000 0.0000 0.0000
Ca 1.6979 1.6979 3.2251
Zr 1.6979 1.6979 7.1106
Al 0.0000 0.0000 5.3880
```

---

[2]
The following is a DFT calculation (PBE) of a relaxed structure of Ca2ZrAl.

E_form = 470 meV per atom
DOS at the Fermi energy = 0.852 states/eV per atom
E_tot = -57.7 eV for the cell shown
crystal system = tetragonal

Cell and atoms, written as extended XYZ:
```
16
Lattice="8.5670 0.0000 0.0000 0.0000 8.5670 0.0000 0.0000 0.0000 6.1839" Properties=species:S:1:pos:R:3 pbc="T T T"
Ca 1.9078 2.1418 0.7730
Ca 2.1418 6.1913 2.3190
Ca 2.1418 6.6592 5.4109
Ca 2.3757 2.1418 3.8649
Ca 6.1913 6.4253 3.8649
Ca 6.4253 1.9078 5.4109
Ca 6.4253 2.3757 2.3190
Ca 6.6592 6.4253 0.7730
Zr 0.0000 0.0000 3.0919
Zr 0.0000 4.2835 4.6379
Zr 4.2835 0.0000 1.5460
Zr 4.2835 4.2835 0.0000
Al 0.0000 0.0000 0.0000
Al 0.0000 4.2835 1.5460
Al 4.2835 0.0000 4.6379
Al 4.2835 4.2835 3.0919
```

---

[3]
The following is a DFT calculation (PBE) of a relaxed structure of Ca2ZrAl.

E_form = 154 meV per atom
DOS at the Fermi energy = 1.207 states/eV per atom
E_tot = -31.4 eV for the cell shown
crystal system = orthorhombic

Cell and atoms, written as extended XYZ:
```
8
Lattice="3.7075 0.0000 0.0000 0.0000 5.1174 0.0000 0.0000 0.0000 11.1128" Properties=species:S:1:pos:R:3 pbc="T T T"
Ca 0.0000 0.0000 2.5309
Ca 0.0000 0.0000 8.5819
Ca 1.8538 2.5587 3.0255
Ca 1.8538 2.5587 8.0874
Zr 0.0000 2.5587 0.0000
Zr 1.8538 0.0000 5.5564
Al 0.0000 2.5587 5.5564
Al 1.8538 0.0000 0.0000
```

---

[4]
The following is a DFT calculation (PBE) of a relaxed structure of CaZrAl2.

E_form = -134 meV per atom
DOS at the Fermi energy = 0.814 states/eV per atom
E_tot = -37.1 eV for the cell shown
crystal system = orthorhombic

Cell and atoms, written as extended XYZ:
```
8
Lattice="3.3963 0.0000 0.0000 0.0000 4.9373 0.0000 0.0000 0.0000 10.3762" Properties=species:S:1:pos:R:3 pbc="T T T"
Ca 0.0000 0.0000 0.0000
Ca 1.6981 2.4686 5.1881
Zr 0.0000 2.4686 8.0565
Zr 1.6981 0.0000 2.8684
Al 0.0000 0.0000 5.5385
Al 0.0000 2.4686 2.4582
Al 1.6981 0.0000 7.6463
Al 1.6981 2.4686 0.3504
```